# 1
Compound: Nd4In3Pt
Source: the Alexandria database
Functional: GGA-PBE
Structure: relaxed

Summary:
Mass density (g/cm³): 8.370
Energy (eV for the cell shown): -38.3

Unit cell a=3.676 b=3.676 c=16.392 alpha=90.00 beta=90.00 gamma=90.00
Fractional positions:
Nd: 0.000 0.000 0.894
Nd: 0.000 0.000 0.631
In: 0.500 0.500 0.760
Nd: 0.000 0.000 0.106
In: 0.500 0.500 0.240
Pt: 0.500 0.500 0.000
In: 0.500 0.500 0.500
Nd: 0.000 0.000 0.369

***

# 2
Compound: Nd3InPt
Source: the Alexandria database
Functional: GGA-PBE
Structure: relaxed

Summary:
Mass density (g/cm³): 8.473
Energy (eV for the cell shown): -52.4

Unit cell a=6.176 b=6.151 c=8.917 alpha=106.72 beta=99.34 gamma=110.29
Fractional positions:
Nd: 0.043 0.202 0.246
Nd: 0.301 0.386 0.685
Nd: 0.691 0.196 0.888
Nd: 0.699 0.614 0.315
Pt: 0.287 0.286 0.000
In: 0.294 0.797 0.499
Pt: 0.713 0.714 0.000
In: 0.706 0.203 0.501
Nd: 0.309 0.804 0.112
Nd: 0.957 0.798 0.754

***

# 3
Compound: Nd8InPt2
Source: the Alexandria database
Functional: GGA-PBE
Structure: relaxed

Summary:
Mass density (g/cm³): 8.044
Energy (eV for the cell shown): -57.8

Unit cell a=5.679 b=8.288 c=8.288 alpha=114.74 beta=97.94 gamma=97.94
Fractional positions:
Nd: 0.932 0.921 0.674
Nd: 0.693 0.393 0.393
In: 0.500 0.000 0.000
Nd: 0.068 0.326 0.079
Nd: 0.932 0.674 0.921
Nd: 0.307 0.607 0.607
Nd: 0.500 0.247 0.753
Pt: 0.000 0.697 0.303
Nd: 0.500 0.753 0.247
Nd: 0.068 0.079 0.326
Pt: 0.000 0.303 0.697